No. 1
A crystal of Zr6Al16Os7 relaxed with PBEsol. Source: Alexandria via LeMat-Bulk, functional SCAN.

```
Zr6Al16Os7
1.0
0.0000 6.1358 6.1358
6.1358 0.0000 6.1358
6.1358 6.1358 0.0000
Zr Al Os
6 16 7
direct
0.2085 0.2085 0.7915
0.2085 0.7915 0.2085
0.2085 0.7915 0.7915
0.7915 0.2085 0.2085
0.7915 0.2085 0.7915
0.7915 0.7915 0.2085
0.1410 0.6197 0.6197
0.1632 0.1632 0.1632
0.1632 0.1632 0.5105
0.1632 0.5105 0.1632
0.3803 0.3803 0.3803
0.3803 0.3803 0.8590
0.3803 0.8590 0.3803
0.4895 0.8368 0.8368
0.5105 0.1632 0.1632
0.6197 0.1410 0.6197
0.6197 0.6197 0.1410
0.6197 0.6197 0.6197
0.8368 0.4895 0.8368
0.8368 0.8368 0.4895
0.8368 0.8368 0.8368
0.8590 0.3803 0.3803
0.0000 0.0000 0.5000
0.0000 0.5000 0.0000
0.0000 0.5000 0.5000
0.5000 0.0000 0.0000
0.5000 0.0000 0.5000
0.5000 0.5000 0.0000
0.5000 0.5000 0.5000
```

## Properties
DOS(E_F)   0.560 states/eV/atom
Energy of formation from the pure elements   -2028.9 kJ/mol of formula units
Space-group type   No. 225

=====

No. 2
A crystal of NaH2SeO4 relaxed with PBEsol. Source: Alexandria via LeMat-Bulk, functional SCAN.

```
NaH2SeO4
1.0
3.4407 -5.5588 0.0000
3.4407 5.5588 0.0000
0.0000 0.0000 9.5091
Na H Se O
4 8 4 16
direct
0.0598 0.4102 0.0000
0.4102 0.0598 0.5000
0.5898 0.9402 0.0000
0.9402 0.5898 0.5000
0.1701 0.8299 0.2531
0.1889 0.3449 0.5169
0.3089 0.6911 0.2672
0.3449 0.1889 0.0169
0.6551 0.8111 0.5169
0.6911 0.3089 0.7672
0.8111 0.6551 0.0169
0.8299 0.1701 0.7531
0.0932 0.9068 0.8237
0.4429 0.5571 0.6977
0.5571 0.4429 0.1977
0.9068 0.0932 0.3237
0.0946 0.9054 0.6508
0.1782 0.4317 0.6066
0.1789 0.2188 0.3814
0.2188 0.1789 0.8814
0.2311 0.7689 0.8904
0.2336 0.7664 0.3245
0.4181 0.5819 0.1287
0.4317 0.1782 0.1066
0.5683 0.8218 0.6066
0.5819 0.4181 0.6287
0.7664 0.2336 0.8245
0.7689 0.2311 0.3904
0.7812 0.8211 0.3814
0.8211 0.7812 0.8814
0.8218 0.5683 0.1066
0.9054 0.0946 0.1508
```

## Properties
DOS(E_F)   0.000 states/eV/atom
Final energy   -263.188 eV for the cell shown
Space-group type   No. 36

=====

No. 3
A crystal of SrTaFe2S relaxed with PBEsol. Source: Alexandria via LeMat-Bulk, functional SCAN.

```
SrTaFe2S
1.0
4.6227 0.0000 0.0000
0.0000 4.6227 0.0000
0.0000 0.0000 4.8432
Sr Ta Fe S
1 1 2 1
direct
0.0000 0.0000 0.0000
0.5000 0.5000 0.5000
0.0000 0.5000 0.5000
0.5000 0.0000 0.5000
0.5000 0.5000 0.0000
```

## Properties
Uncorrected formation energy   1.5 eV/f.u.
DOS(E_F)   0.684 states/eV/atom
Space-group type   No. 123

=====

No. 4
A crystal of TlTcBr2 relaxed with PBEsol. Source: Alexandria via LeMat-Bulk, functional SCAN.

```
TlTcBr2
1.0
3.2733 0.0000 0.0000
0.0000 4.4549 0.0000
0.0000 0.0000 13.6429
Tl Tc Br
2 2 4
direct
0.0000 0.0000 0.0000
0.0000 0.5000 0.5000
0.5000 0.0000 0.4704
0.5000 0.5000 0.9704
0.0000 0.0000 0.3317
0.0000 0.5000 0.8317
0.5000 0.0000 0.6517
0.5000 0.5000 0.1517
```

## Properties
Excess energy over the best structure of this formula in the dataset   0.0 meV per atom
Uncorrected formation energy   0.1 eV/f.u.
DOS(E_F)   0.496 states/eV/atom
Space-group type   No. 38

=====

No. 5
A crystal of Cd2MoCl relaxed with PBEsol. Source: Alexandria via LeMat-Bulk, functional SCAN.

```
Cd2MoCl
1.0
2.8865 0.0000 0.0000
0.0000 4.6976 0.0000
0.0000 0.0000 5.4150
Cd Mo Cl
2 1 1
direct
0.0000 0.0000 0.0000
0.5000 0.5000 0.0000
0.0000 0.5000 0.5000
0.5000 0.0000 0.5000
```

## Properties
Excess energy over the best structure of this formula in the dataset   65.5 meV per atom
Uncorrected formation energy   1.9 eV/f.u.
DOS(E_F)   0.453 states/eV/atom
Space-group type   No. 47

=====

No. 6
A crystal of Cs3Sb2I9 relaxed with PBEsol. Source: Alexandria via LeMat-Bulk, functional SCAN.

```
Cs3Sb2I9
1.0
8.3481 0.0000 0.0000
-4.1741 7.2297 0.0000
0.0000 0.0000 10.2916
Cs Sb I
3 2 9
direct
0.0000 0.0000 0.0000
0.3333 0.6667 0.6687
0.6667 0.3333 0.3313
0.3333 0.6667 0.1881
0.6667 0.3333 0.8119
0.0000 0.5000 0.0000
0.1652 0.3304 0.3393
0.1652 0.8348 0.3393
0.3304 0.1652 0.6607
0.5000 0.0000 0.0000
0.5000 0.5000 0.0000
0.6696 0.8348 0.3393
0.8348 0.1652 0.6607
0.8348 0.6696 0.6607
```

## Properties
Uncorrected formation energy   -13.6 eV/f.u.
Space-group type   No. 164